w | Entry from Alexandria: a geometry-optimized ScPb3Se structure (PBE).

Values from the calculation:
Magnetization   1.0 μB/f.u.
Crystal system   cubic

Lattice parameters (Å, degrees): 5.6234 5.6234 5.6234 90.00 90.00 90.00
With the nearest neighbours (Å) after each atom.
Space group Pm-3m (No. 221)
One atom of each set of equivalent atoms:
Sc: 0.0000 0.0000 0.0000  12 Pb 3.98
Pb: 0.0000 0.5000 0.5000  2 Se 2.81
Se: 0.5000 0.5000 0.5000  6 Pb 2.81


x | Entry from Alexandria: a geometry-optimized ScPb3Se structure (PBE).

Values from the calculation:
Magnetization   0.0 μB/f.u.
Crystal system   cubic

Lattice parameters (Å, degrees): 5.6465 5.6465 5.6465 90.00 90.00 90.00
With the nearest neighbours (Å) after each atom.
Space group Pm-3m (No. 221)
One atom of each set of equivalent atoms:
Sc: 0.0000 0.0000 0.0000  6 Pb 2.82
Pb: 0.0000 0.0000 0.5000  2 Sc 2.82
Se: 0.5000 0.5000 0.5000  12 Pb 3.99


Quick one: least stable of them? x